The following is a DFT calculation (PBE with a Hubbard U) of a relaxed structure of KCdCoF6.

a = 7.227 Å, b = 7.391 Å, c = 9.910 Å
α = 90.00°, β = 90.00°, γ = 90.00°
Space group Imma (No. 74)
Unique sites:
K1 0.000 0.250 0.098 [4 per cell]
Cd1 0.000 0.000 0.500 [4 per cell]
Co1 0.250 0.250 0.750 [4 per cell]
F1 0.000 0.250 0.381 [4 per cell]
F2 0.000 0.250 0.689 [4 per cell]
F3 0.216 0.073 0.880 [16 per cell]

Results
**Uncorrected energy**: -4.242 eV/atom
**Magnetic moment**: 0.3 μB/cell